[1]
Material: MgTe2Br
Method: DFT, SCAN
State: PBEsol geometry

a = 5.244 Å, b = 5.244 Å, c = 5.244 Å
α = 60.00°, β = 60.00°, γ = 60.00°
Positions (direct):
Mg: 0.250 0.250 0.250
Te: 0.750 0.750 0.750
Te: 0.000 0.000 0.000
Br: 0.500 0.500 0.500

Energy above the most stable polymorph in this dataset, eV/atom: 0.4316
Uncorrected formation energy, eV/atom: -0.0357

***

[2]
Material: YTl3Fe
Method: DFT, SCAN
State: PBEsol geometry

a = 5.702 Å, b = 5.702 Å, c = 5.702 Å
α = 90.00°, β = 90.00°, γ = 90.00°
Site moments in Bohr magnetons follow the coordinates.
Positions (direct):
Y: 0.000 0.000 0.000  -0.23
Fe: 0.500 0.500 0.500  3.53
Tl: 0.000 0.000 0.500  -0.04
Tl: 0.000 0.500 0.000  -0.04
Tl: 0.500 0.000 0.000  -0.04

DFT formation energy, meV per atom: 1115

***

[3]
Material: NbBCl2
Method: DFT, SCAN
State: PBEsol geometry

a = 3.067 Å, b = 3.067 Å, c = 8.892 Å
α = 80.07°, β = 80.07°, γ = 60.00°
Positions (direct):
B: 0.000 0.000 0.000
Cl: 0.098 0.098 0.706
Cl: 0.902 0.902 0.294
Nb: 0.500 0.500 0.500

Uncorrected formation energy, eV/atom: 0.3795

***

[4]
Material: WCl
Method: DFT, SCAN
State: PBEsol geometry

a = 2.881 Å, b = 2.881 Å, c = 4.493 Å
α = 71.30°, β = 71.30°, γ = 60.00°
Positions (direct):
Cl: 0.000 0.000 0.000
W: 0.500 0.500 0.500

Energy above the most stable polymorph in this dataset, eV/atom: 0.2114
Uncorrected formation energy, eV/atom: 1.0121

***

[5]
Material: Al2CoTe
Method: DFT, SCAN
State: PBEsol geometry

a = 4.149 Å, b = 4.824 Å, c = 4.149 Å
α = 64.53°, β = 90.00°, γ = 115.47°
Site moments in Bohr magnetons follow the coordinates.
Positions (direct):
Al: 0.250 0.500 0.250  -0.01
Al: 0.000 0.000 0.000  0.01
Te: 0.750 0.500 0.750  -0.01
Co: 0.500 0.000 0.500  1.29

Uncorrected formation energy, eV/atom: 0.3635

***

[6]
Material: MnNiTe2
Method: DFT, SCAN
State: PBEsol geometry

a = 3.825 Å, b = 3.826 Å, c = 6.729 Å
α = 73.45°, β = 73.49°, γ = 60.01°
Site moments in Bohr magnetons follow the coordinates.
Positions (direct):
Mn: 0.520 0.520 0.440  3.29
Te: 0.963 0.963 0.111  -0.06
Te: 0.780 0.779 0.661  -0.18
Ni: 0.237 0.238 0.288  -0.09

Uncorrected formation energy, eV/atom: -0.2426

***

[7]
Material: MnAgAu2
Method: DFT, SCAN
State: PBEsol geometry

a = 3.152 Å, b = 3.198 Å, c = 6.417 Å
α = 90.00°, β = 90.00°, γ = 90.00°
Site moments in Bohr magnetons follow the coordinates.
Positions (direct):
Mn: 0.500 0.500 0.000  4.12
Au: 0.000 0.000 0.234  0.05
Au: 0.000 0.000 0.766  0.05
Ag: 0.500 0.500 0.500  -0.01

DFT formation energy, meV per atom: -304

***

[8]
Material: Te2HS
Method: DFT, SCAN
State: PBEsol geometry

a = 3.390 Å, b = 3.390 Å, c = 8.348 Å
α = 78.29°, β = 78.29°, γ = 60.00°
Positions (direct):
S: 0.500 0.500 0.500
Te: 0.081 0.081 0.758
Te: 0.919 0.919 0.242
H: 0.000 0.000 0.000

Energy above the most stable polymorph in this dataset, eV/atom: 0.0000

***

[9]
Material: Tm3Ge3Ru2
Method: DFT, SCAN
State: PBEsol geometry

a = 4.191 Å, b = 5.679 Å, c = 13.603 Å
α = 90.00°, β = 90.00°, γ = 111.65°
Positions (direct):
Ge: 0.338 0.676 0.750
Ge: 0.386 0.772 0.459
Ge: 0.662 0.324 0.250
Ge: 0.614 0.228 0.541
Ge: 0.386 0.772 0.041
Ge: 0.614 0.228 0.959
Ru: 0.213 0.427 0.917
Ru: 0.213 0.427 0.583
Ru: 0.787 0.573 0.083
Ru: 0.787 0.573 0.417
Tm: 0.077 0.155 0.113
Tm: 0.352 0.705 0.250
Tm: 0.648 0.295 0.750
Tm: 0.077 0.155 0.387
Tm: 0.923 0.845 0.613
Tm: 0.923 0.845 0.887

DFT formation energy, meV per atom: -903

***

[10]
Material: LiTiI2
Method: DFT, SCAN
State: PBEsol geometry

a = 5.094 Å, b = 5.094 Å, c = 5.094 Å
α = 60.00°, β = 60.00°, γ = 60.00°
Site moments in Bohr magnetons follow the coordinates.
Positions (direct):
Li: 0.000 0.000 0.000  0.02
I: 0.750 0.750 0.750  -0.05
I: 0.250 0.250 0.250  -0.05
Ti: 0.500 0.500 0.500  1.97

Uncorrected formation energy, eV/atom: -0.2886

***

[11]
Material: Li2Cu7F16
Method: DFT, SCAN
State: PBEsol geometry

a = 6.899 Å, b = 5.805 Å, c = 8.919 Å
α = 86.47°, β = 116.38°, γ = 113.80°
Site moments in Bohr magnetons follow the coordinates.
Positions (direct):
Li: 0.200 0.603 0.963  0.00
Li: 0.800 0.397 0.037  0.00
F: 0.235 0.647 0.745  0.07
F: 0.873 0.097 0.119  0.09
F: 0.937 0.121 0.575  0.09
F: 0.465 0.139 0.388  0.10
F: 0.765 0.571 0.555  0.09
F: 0.063 0.879 0.425  0.09
F: 0.708 0.666 0.915  0.10
F: 0.420 0.199 0.726  0.07
F: 0.894 0.318 0.860  0.07
F: 0.127 0.903 0.881  0.09
F: 0.765 0.353 0.255  0.07
F: 0.235 0.429 0.445  0.09
F: 0.292 0.334 0.085  0.10
F: 0.106 0.682 0.140  0.07
F: 0.580 0.801 0.274  0.07
F: 0.535 0.861 0.612  0.10
Cu: 0.901 0.111 0.342  0.84
Cu: 0.699 0.232 0.628  0.80
Cu: 0.000 0.000 0.000  0.80
Cu: 0.556 0.468 0.305  0.79
Cu: 0.301 0.768 0.372  0.80
Cu: 0.444 0.532 0.695  0.79
Cu: 0.099 0.889 0.658  0.84

Uncorrected formation energy, eV/atom: -1.9636

***

[12]
Material: K3Na3TeP6H6O24
Method: DFT, SCAN
State: PBEsol geometry

a = 10.858 Å, b = 10.858 Å, c = 12.467 Å
α = 64.18°, β = 64.18°, γ = 60.00°
Positions (direct):
O: 0.367 0.894 0.106
O: 0.279 0.144 0.564
O: 0.867 0.133 0.606
O: 0.629 0.380 0.607
O: 0.034 0.210 0.384
O: 0.633 0.367 0.106
O: 0.644 0.779 0.064
O: 0.633 0.106 0.894
O: 0.966 0.790 0.616
O: 0.884 0.880 0.107
O: 0.367 0.633 0.894
O: 0.513 0.644 0.064
O: 0.880 0.129 0.107
O: 0.129 0.884 0.107
O: 0.210 0.372 0.384
O: 0.380 0.384 0.607
O: 0.394 0.867 0.606
O: 0.466 0.128 0.116
O: 0.133 0.867 0.394
O: 0.116 0.120 0.893
O: 0.106 0.367 0.894
O: 0.721 0.856 0.436
O: 0.356 0.221 0.936
O: 0.487 0.356 0.936
O: 0.628 0.966 0.616
O: 0.871 0.116 0.893
O: 0.371 0.620 0.393
O: 0.384 0.629 0.607
O: 0.133 0.394 0.606
O: 0.128 0.290 0.116
O: 0.221 0.487 0.936
O: 0.987 0.721 0.436
O: 0.867 0.606 0.394
O: 0.790 0.628 0.616
O: 0.616 0.371 0.393
O: 0.013 0.279 0.564
O: 0.894 0.633 0.106
O: 0.120 0.871 0.893
O: 0.606 0.133 0.394
O: 0.779 0.513 0.064
O: 0.620 0.616 0.393
O: 0.872 0.710 0.884
O: 0.144 0.013 0.564
O: 0.372 0.034 0.384
O: 0.534 0.872 0.884
O: 0.290 0.466 0.116
O: 0.710 0.534 0.884
O: 0.856 0.987 0.436
P: 0.005 0.160 0.522
P: 0.495 0.188 0.978
P: 0.840 0.688 0.478
P: 0.688 0.995 0.478
P: 0.188 0.340 0.978
P: 0.505 0.812 0.022
P: 0.340 0.495 0.978
P: 0.660 0.505 0.022
P: 0.160 0.312 0.522
P: 0.995 0.840 0.478
P: 0.812 0.660 0.022
P: 0.312 0.005 0.522
H: 0.290 0.714 0.414
H: 0.710 0.286 0.586
H: 0.286 0.417 0.586
H: 0.210 0.917 0.086
H: 0.790 0.083 0.914
H: 0.214 0.790 0.914
H: 0.083 0.214 0.914
H: 0.786 0.210 0.086
H: 0.417 0.710 0.586
H: 0.917 0.786 0.086
H: 0.583 0.290 0.414
H: 0.714 0.583 0.414
Na: 0.945 0.555 0.750
Na: 0.250 0.055 0.250
Na: 0.055 0.445 0.250
Na: 0.750 0.945 0.750
Na: 0.555 0.750 0.750
Na: 0.445 0.250 0.250
K: 0.628 0.872 0.250
K: 0.128 0.750 0.750
K: 0.750 0.372 0.750
K: 0.872 0.250 0.250
K: 0.250 0.628 0.250
K: 0.372 0.128 0.750
Te: 0.000 0.000 0.000
Te: 0.500 0.500 0.500

Energy above the most stable polymorph in this dataset, eV/atom: 0.0000

***

[13]
Material: LaMg4
Method: DFT, SCAN
State: PBEsol geometry

a = 5.153 Å, b = 5.607 Å, c = 5.607 Å
α = 77.81°, β = 62.64°, γ = 62.64°
Site moments in Bohr magnetons follow the coordinates.
Positions (direct):
Mg: 0.198 0.350 0.253  0.00
Mg: 0.549 0.253 0.650  0.00
Mg: 0.802 0.650 0.747  0.00
Mg: 0.451 0.747 0.350  0.00
La: 0.000 0.000 0.000  -0.06

DFT formation energy, meV per atom: -68

***

[14]
Material: NdB2C2
Method: DFT, SCAN
State: PBEsol geometry

a = 3.748 Å, b = 5.375 Å, c = 5.375 Å
α = 90.00°, β = 90.00°, γ = 90.00°
Positions (direct):
B: 0.500 0.137 0.637
B: 0.500 0.637 0.863
B: 0.500 0.363 0.137
B: 0.500 0.863 0.363
C: 0.500 0.161 0.339
C: 0.500 0.839 0.661
C: 0.500 0.661 0.161
C: 0.500 0.339 0.839
Nd: 0.000 0.000 0.000
Nd: 0.000 0.500 0.500

DFT formation energy, meV per atom: -521

***

[15]
Material: FeRhPb
Method: DFT, SCAN
State: PBEsol geometry

a = 3.013 Å, b = 4.323 Å, c = 4.323 Å
α = 120.00°, β = 90.00°, γ = 90.00°
Site moments in Bohr magnetons follow the coordinates.
Positions (direct):
Rh: 0.304 0.667 0.333  0.28
Pb: 0.676 0.333 0.667  -0.06
Fe: 0.020 0.000 0.000  2.98

DFT formation energy, meV per atom: 295

***

[16]
Material: ScFeGeH2
Method: DFT, SCAN
State: PBEsol geometry

a = 3.629 Å, b = 3.629 Å, c = 4.516 Å
α = 90.00°, β = 90.00°, γ = 90.00°
Site moments in Bohr magnetons follow the coordinates.
Positions (direct):
Sc: 0.500 0.500 0.500  0.20
H: 0.000 0.500 0.000  -0.03
H: 0.500 0.000 0.000  -0.03
Fe: 0.000 0.000 0.000  2.38
Ge: 0.000 0.000 0.500  0.01

***

[17]
Material: Ba2ZnSb
Method: DFT, SCAN
State: PBEsol geometry

a = 4.295 Å, b = 5.250 Å, c = 6.696 Å
α = 113.08°, β = 108.71°, γ = 90.00°
Site moments in Bohr magnetons follow the coordinates.
Positions (direct):
Zn: 0.207 0.707 0.415  0.07
Sb: 0.549 0.549 0.098  -0.01
Ba: 0.768 0.268 0.535  0.13
Ba: 0.976 0.976 0.952  0.08

Energy above the most stable polymorph in this dataset, eV/atom: 0.0825
Uncorrected formation energy, eV/atom: -0.6321

***

[18]
Material: HOs3Br
Method: DFT, SCAN
State: PBEsol geometry

a = 4.498 Å, b = 4.498 Å, c = 4.498 Å
α = 90.00°, β = 90.00°, γ = 90.00°
Site moments in Bohr magnetons follow the coordinates.
Positions (direct):
Os: 0.500 0.000 0.000  0.87
Os: 0.000 0.000 0.500  0.87
Os: 0.000 0.500 0.000  0.87
H: 0.500 0.500 0.500  0.31
Br: 0.000 0.000 0.000  -0.01

***

[19]
Material: Be3NiH
Method: DFT, SCAN
State: PBEsol geometry

a = 3.283 Å, b = 3.283 Å, c = 3.283 Å
α = 90.00°, β = 90.00°, γ = 90.00°
Positions (direct):
Ni: 0.500 0.500 0.500
Be: 0.000 0.000 0.500
Be: 0.500 0.000 0.000
Be: 0.000 0.500 0.000
H: 0.000 0.000 0.000

***

[20]
Material: Li2CrSb
Method: DFT, SCAN
State: PBEsol geometry

a = 3.174 Å, b = 4.795 Å, c = 4.773 Å
α = 90.00°, β = 90.00°, γ = 95.52°
Site moments in Bohr magnetons follow the coordinates.
Positions (direct):
Li: 0.214 0.250 0.000  -0.01
Li: 0.786 0.750 0.000  -0.01
Sb: 0.000 0.500 0.500  -0.07
Cr: 0.500 0.000 0.500  3.85

Uncorrected formation energy, eV/atom: -0.0949

***

[21]
Material: SiMo2Au
Method: DFT, SCAN
State: PBEsol geometry

a = 2.747 Å, b = 2.747 Å, c = 8.470 Å
α = 90.00°, β = 90.00°, γ = 106.40°
Positions (direct):
Si: 0.000 0.000 0.512
Au: 0.500 0.500 0.261
Mo: 0.000 0.000 0.989
Mo: 0.500 0.500 0.738

Uncorrected formation energy, eV/atom: 0.1792

***

[22]
Material: MgTlCr3
Method: DFT, SCAN
State: PBEsol geometry

a = 5.108 Å, b = 5.108 Å, c = 5.108 Å
α = 90.00°, β = 90.00°, γ = 90.00°
Site moments in Bohr magnetons follow the coordinates.
Positions (direct):
Cr: 0.000 0.500 0.000  3.97
Cr: 0.000 0.000 0.500  3.97
Cr: 0.500 0.000 0.000  3.97
Mg: 0.500 0.500 0.500  -0.04
Tl: 0.000 0.000 0.000  0.01

DFT formation energy, meV per atom: 1086

***

[23]
Material: Li4OsPt
Method: DFT, SCAN
State: PBEsol geometry

a = 4.644 Å, b = 4.644 Å, c = 4.644 Å
α = 60.00°, β = 60.00°, γ = 60.00°
Site moments in Bohr magnetons follow the coordinates.
Positions (direct):
Li: 0.375 0.375 0.874  -0.01
Li: 0.375 0.874 0.375  -0.01
Li: 0.375 0.375 0.375  -0.01
Li: 0.874 0.375 0.375  -0.01
Os: 0.750 0.750 0.750  0.95
Pt: 0.000 0.000 0.000  0.34

DFT formation energy, meV per atom: 145

***

| no. | calculated total energy (eV/cell) | volume (A^3/atom) |
| --- | --- | --- |
| 1 | -99.1 | 25.49 |
| 2 | -257.5 | 37.07 |
| 3 | -55.0 | 17.74 |
| 4 | -75.6 | 15.00 |
| 5 | -68.6 | 16.48 |
| 6 | -109.9 | 20.14 |
| 7 | -189.2 | 16.17 |
| 8 | -85.7 | 20.19 |
| 9 | -579.3 | 18.81 |
| 10 | -93.1 | 23.37 |
| 11 | -216.9 | 11.59 |
| 12 | -790.3 | 12.79 |
| 13 | -63.3 | 25.56 |
| 14 | -162.5 | 10.83 |
| 15 | -126.8 | 16.25 |
| 16 | -58.2 | 11.89 |
| 17 | -132.4 | 32.55 |
| 18 | -221.8 | 18.20 |
| 19 | -33.3 | 7.08 |
| 20 | -60.8 | 18.08 |
| 21 | -148.2 | 15.33 |
| 22 | -127.1 | 26.65 |
| 23 | -150.8 | 11.80 |